Entry 1:
# HfBe4Ir

A relaxed HfBe4Ir crystal (PBE-GGA, OQMD via LeMat-Bulk).

Cell: 6.4039 6.4039 6.4039 Å, 90.00 90.00 90.00°
With the nearest neighbours (Å) after each atom.
Space group F-43m (No. 216)
Unique sites:
Hf: 0.0000 0.0000 0.0000 x4  12 Be 2.65, 4 Ir 2.77
Be: 0.1256 0.1256 0.6256 x16  6 Be 2.25-2.27
Ir: 0.2500 0.2500 0.2500 x4  12 Be 2.66, 4 Hf 2.77

## Properties
* E_tot: -36.74 eV/f.u.

Entry 2:
# HfBeIr

A relaxed HfBeIr crystal (PBE-GGA, OQMD via LeMat-Bulk).

Cell: 5.9977 5.9977 5.9977 Å, 90.00 90.00 90.00°
With the nearest neighbours (Å) after each atom.
Space group F-43m (No. 216)
Unique sites:
Hf: 0.0000 0.0000 0.0000 x4  4 Ir 2.60
Be: 0.0000 0.0000 0.5000 x4  4 Ir 2.60
Ir: 0.2500 0.2500 0.7500 x4  4 Hf 2.60, 4 Be 2.60

## Properties
* E_tot: -23.43 eV/f.u.

Entry 3:
# LaHfBeIr2

A relaxed LaHfBeIr2 crystal (PBE-GGA, OQMD via LeMat-Bulk).

Cell: 4.3037 4.3037 10.3205 Å, 90.00 90.00 90.00°
With the nearest neighbours (Å) after each atom.
Space group I4mm (No. 107)
Unique sites:
La: 0.0000 0.0000 0.0000 x2  4 Ir 3.09, 4 Be 3.33, 4 Hf 3.37
Hf: 0.0000 0.0000 0.3601 x2  4 Ir 2.62, 1 Be 2.80
Be: 0.0000 0.0000 0.6310 x2  4 Ir 2.32
Ir: 0.0000 0.5000 0.2155 x4  2 Be 2.32

## Properties
* E_tot: -38.98 eV/f.u.

Entry 4:
# HfBeTlIr

A relaxed HfBeTlIr crystal (PBE-GGA, OQMD via LeMat-Bulk).

Cell: 6.4593 6.4593 6.4593 Å, 90.00 90.00 90.00°
With the nearest neighbours (Å) after each atom.
Space group F-43m (No. 216)
Unique sites:
Hf: 0.0000 0.0000 0.0000 x4  4 Be 2.80, 4 Ir 2.80
Be: 0.2500 0.2500 0.2500 x4  4 Hf 2.80, 4 Tl 2.80
Tl: 0.0000 0.0000 0.5000 x4  4 Be 2.80, 4 Ir 2.80
Ir: 0.2500 0.2500 0.7500 x4  4 Hf 2.80, 4 Tl 2.80

## Properties
* E_tot: -24.96 eV/f.u.

Entry 5:
# HfBeTlIr

A relaxed HfBeTlIr crystal (PBE-GGA, OQMD via LeMat-Bulk).

Cell: 6.4320 6.4320 6.4320 Å, 90.00 90.00 90.00°
With the nearest neighbours (Å) after each atom.
Space group F-43m (No. 216)
Unique sites:
Hf: 0.0000 0.0000 0.0000 x4  4 Be 2.79, 4 Tl 2.79
Be: 0.2500 0.2500 0.7500 x4  4 Ir 2.79, 4 Hf 2.79
Tl: 0.2500 0.2500 0.2500 x4  4 Hf 2.79, 4 Ir 2.79
Ir: 0.0000 0.0000 0.5000 x4  4 Tl 2.79, 4 Be 2.79

## Properties
* E_tot: -24.22 eV/f.u.

Entry 6:
# HfBeTlIr

A relaxed HfBeTlIr crystal (PBE-GGA, OQMD via LeMat-Bulk).

Cell: 6.4921 6.4921 6.4921 Å, 90.00 90.00 90.00°
With the nearest neighbours (Å) after each atom.
Space group F-43m (No. 216)
Unique sites:
Hf: 0.0000 0.0000 0.0000 x4  4 Tl 2.81, 4 Ir 2.81
Be: 0.0000 0.0000 0.5000 x4  4 Tl 2.81, 4 Ir 2.81
Tl: 0.2500 0.2500 0.7500 x4  4 Hf 2.81, 4 Be 2.81
Ir: 0.2500 0.2500 0.2500 x4  4 Hf 2.81, 4 Be 2.81

## Properties
* E_tot: -24.61 eV/f.u.

Entry 7:
# KHfBe

A relaxed KHfBe crystal (PBE-GGA, OQMD via LeMat-Bulk).

Cell: 6.7701 6.7701 6.7701 Å, 90.00 90.00 90.00°
With the nearest neighbours (Å) after each atom.
Space group F-43m (No. 216)
Unique sites:
K: 0.0000 0.0000 0.0000 x4  4 Be 2.93
Hf: 0.0000 0.0000 0.5000 x4  4 Be 2.93
Be: 0.2500 0.2500 0.7500 x4  4 Hf 2.93, 4 K 2.93

## Properties
* E_tot: -10.24 eV/f.u.

Entry 8:
# KHfBe

A relaxed KHfBe crystal (PBE-GGA, OQMD via LeMat-Bulk).

Cell: 6.6400 6.6400 6.6400 Å, 90.00 90.00 90.00°
With the nearest neighbours (Å) after each atom.
Space group F-43m (No. 216)
Unique sites:
K: 0.0000 0.0000 0.0000 x4  4 Hf 2.88, 4 Be 2.88
Hf: 0.2500 0.2500 0.2500 x4  4 K 2.88
Be: 0.2500 0.2500 0.7500 x4  4 K 2.88

## Properties
* E_tot: -8.19 eV/f.u.